1.
PBE-GGA Mn2Zn3Au6, relaxed; symmetry = I4/mmm; spin magnetization = 8.3 μB/cell; energy of formation from the pure elements = 0.0604 eV/atom; crystal system = tetragonal
1.0
-2.532 -2.671 1.027
2.610 -2.718 -0.635
4.242 3.719 13.019
Au Zn Mn
6 3 2
direct
0.430 0.930 0.860
0.070 0.570 0.140
0.570 0.070 0.140
0.930 0.430 0.860
0.773 0.773 0.546
0.227 0.227 0.454
0.863 0.863 0.726
0.137 0.137 0.274
0.000 0.000 0.000
0.324 0.324 0.648
0.676 0.676 0.352

=====

2.
PBE-GGA RbGaGe, relaxed; symmetry = P-6m2; spin magnetization = 0.0 μB/cell; energy of formation from the pure elements = 0.1537 eV/atom; crystal system = hexagonal
1.0
4.311 -2.489 0.000
0.000 4.978 0.000
0.000 0.000 7.580
Ga Rb Ge
2 2 2
direct
0.333 0.667 0.801
0.333 0.667 0.199
0.667 0.333 0.500
0.667 0.333 0.000
0.000 0.000 0.697
0.000 0.000 0.303